Entry 1:
A plane-wave DFT calculation with GGA-PBE was carried out for a relaxed GaAsPd4 crystal.

a b c (Å): 5.6203 7.5444 4.5678
angles (deg): 90.00 90.00 90.00
Fractional coordinates of all 12 atoms:
Ga: 0.0000 0.0000 0.0000
Ga: 0.5000 0.5000 0.0000
As: 0.0000 0.5000 0.5000
As: 0.5000 0.0000 0.5000
Pd: 0.1023 0.3298 0.0000
Pd: 0.1047 0.8280 0.5000
Pd: 0.3953 0.3280 0.5000
Pd: 0.3977 0.8298 0.0000
Pd: 0.6023 0.1702 0.0000
Pd: 0.6047 0.6720 0.5000
Pd: 0.8953 0.1720 0.5000
Pd: 0.8977 0.6702 0.0000

* crystal system: orthorhombic
* space group: Pbam
* formation energy from the elements: -408.4 meV/atom
* excess energy over the best structure of this formula in the dataset: 10.1 kJ/mol of atoms


Entry 2:
A plane-wave DFT calculation with GGA-PBE was carried out for a relaxed Cs2Hg6Bi crystal.

a b c (Å): 9.9104 9.9104 3.8727
angles (deg): 90.00 90.00 121.02
Fractional coordinates of all 9 atoms:
Cs: 0.1546 0.8454 0.0000
Cs: 0.8454 0.1546 0.0000
Hg: 0.1836 0.5111 0.5000
Hg: 0.2130 0.2130 0.5000
Hg: 0.4889 0.8164 0.5000
Hg: 0.5111 0.1836 0.5000
Hg: 0.7870 0.7870 0.5000
Hg: 0.8164 0.4889 0.5000
Bi: 0.5000 0.5000 0.0000

* crystal system: orthorhombic
* space group: Cmmm
* formation energy from the elements: -160.6 meV/atom
* excess energy over the best structure of this formula in the dataset: 1.4 kJ/mol of atoms


Entry 3:
A plane-wave DFT calculation with GGA-PBE was carried out for a relaxed ZnAgP crystal.

a b c (Å): 4.9503 4.9503 4.9503
angles (deg): 144.61 134.77 58.70
Fractional coordinates of all 3 atoms:
Zn: 0.0000 0.0000 0.0000
Ag: 0.3242 0.3242 0.0000
P: 0.6419 0.6419 0.0000

* crystal system: orthorhombic
* space group: Imm2
* formation energy from the elements: 258.9 meV/atom


Entry 4:
A plane-wave DFT calculation with GGA-PBE was carried out for a relaxed CsK7Au3 crystal.

a b c (Å): 9.1983 9.1983 11.3016
angles (deg): 125.68 125.68 62.61
Fractional coordinates of all 11 atoms:
Cs: 0.0000 0.0000 0.0000
K: 0.0096 0.5099 0.5037
K: 0.0855 0.5771 0.1641
K: 0.0876 0.0876 0.6640
K: 0.5067 0.5067 0.9928
K: 0.5099 0.0096 0.5037
K: 0.5771 0.0855 0.1641
K: 0.5807 0.5807 0.6554
Au: 0.2990 0.2990 0.3396
Au: 0.3021 0.7932 0.8255
Au: 0.7932 0.3021 0.8255

* crystal system: monoclinic
* space group: Cm
* formation energy from the elements: -159.5 meV/atom


Entry 5:
A plane-wave DFT calculation with GGA-PBE was carried out for a relaxed PrDy8Tm6 crystal.

a b c (Å): 8.5756 8.5756 8.5756
angles (deg): 62.98 62.98 62.98
Fractional coordinates of all 15 atoms:
Pr: 0.0000 0.0000 0.0000
Dy: 0.1109 0.7457 0.7190
Dy: 0.2543 0.2810 0.8891
Dy: 0.2810 0.8891 0.2543
Dy: 0.4233 0.4233 0.4233
Dy: 0.5767 0.5767 0.5767
Dy: 0.7190 0.1109 0.7457
Dy: 0.7457 0.7190 0.1109
Dy: 0.8891 0.2543 0.2810
Tm: 0.1049 0.2382 0.5367
Tm: 0.2382 0.5367 0.1049
Tm: 0.4633 0.8951 0.7618
Tm: 0.5367 0.1049 0.2382
Tm: 0.7618 0.4633 0.8951
Tm: 0.8951 0.7618 0.4633

* crystal system: trigonal
* space group: R-3
* formation energy from the elements: 139.5 meV/atom
* excess energy over the best structure of this formula in the dataset: 0.0 kJ/mol of atoms


Entry 6:
A plane-wave DFT calculation with GGA-PBE was carried out for a relaxed TaIn2Pb crystal.

a b c (Å): 11.6432 11.6432 11.6432
angles (deg): 15.67 15.67 15.67
Fractional coordinates of all 4 atoms:
Ta: 0.0000 0.0000 0.0000
In: 0.2627 0.2627 0.2627
In: 0.5155 0.5155 0.5155
Pb: 0.7431 0.7431 0.7431

* crystal system: trigonal
* space group: R3m
* formation energy from the elements: 298.4 meV/atom


Entry 7:
A plane-wave DFT calculation with GGA-PBE was carried out for a relaxed Hf4CuNi crystal.

a b c (Å): 3.1868 3.1868 10.8891
angles (deg): 90.00 90.00 90.00
Fractional coordinates of all 6 atoms:
Hf: 0.0000 0.0000 0.1489
Hf: 0.0000 0.0000 0.8511
Hf: 0.5000 0.5000 0.3396
Hf: 0.5000 0.5000 0.6604
Cu: 0.0000 0.0000 0.5000
Ni: 0.5000 0.5000 0.0000

* crystal system: tetragonal
* space group: P4/mmm
* formation energy from the elements: -240.3 meV/atom
* excess energy over the best structure of this formula in the dataset: 0.0 kJ/mol of atoms


Entry 8:
A plane-wave DFT calculation with GGA-PBE was carried out for a relaxed BeAsPdSe2 crystal.

a b c (Å): 5.0838 5.0838 4.6422
angles (deg): 90.00 90.00 90.00
Fractional coordinates of all 5 atoms:
Be: 0.0000 0.0000 0.0000
As: 0.5000 0.5000 0.0000
Pd: 0.5000 0.5000 0.5000
Se: 0.0000 0.5000 0.5000
Se: 0.5000 0.0000 0.5000

* energy relative to the elements, uncorrected: 0.874 eV per atom
* crystal system: tetragonal
* space group: P4/mmm
* excess energy over the best structure of this formula in the dataset: 41.9 kJ/mol of atoms